Cd2AgSb2: relaxed, PBE-GGA.

Structure (extended XYZ):
```
5
Lattice="4.498 0.000 0.000 0.000 4.498 0.000 2.249 2.249 6.843" Properties=species:S:1:pos:R:3 pbc="T T T"
Sb 4.498 2.249 3.421
Sb 2.249 4.498 3.421
Ag 0.000 0.000 0.000
Cd 2.249 2.249 1.342
Cd 4.498 4.498 5.501
```

Results
Space-group type ... I4/mmm, No. 139
Energy above the most stable polymorph in this dataset ... 134 meV per atom
V ... 27.69 Å³/atom
Formation energy from raw total energies ... 285 meV/atom
Final energy ... -11.50 eV for the cell shown

***

BePd: relaxed, PBE-GGA.

Structure (extended XYZ):
```
4
Lattice="-0.828 2.806 0.338 -2.392 -1.014 2.555 3.424 -0.959 2.824" Properties=species:S:1:pos:R:3 pbc="T T T"
Be 1.512 1.508 3.313
Be -1.308 -0.675 2.405
Pd -0.165 1.295 1.658
Pd 0.369 -0.461 4.060
```

Results
Space-group type ... P2_1/m, No. 11
V ... 11.45 Å³/atom
Final energy ... -20.03 eV for the cell shown
Formation energy ... -0.5485 eV/atom

***

RbScZnMo2: relaxed, PBE-GGA.

Structure (extended XYZ):
```
5
Lattice="-2.806 3.071 -2.694 2.242 -2.419 -5.093 -3.651 -3.351 -0.016" Properties=species:S:1:pos:R:3 pbc="T T T"
Sc 0.000 0.000 0.000
Mo -1.826 -1.676 -0.008
Mo -1.403 1.535 -1.347
Zn -2.108 -1.350 -3.901
Rb 1.121 -1.209 -2.546
```

Results
Space-group type ... P4/mmm, No. 123
V ... 29.80 Å³/atom
Final energy ... -20.48 eV for the cell shown
Formation energy ... 1.9505 eV/atom

***

SrLi2DyPt2: relaxed, PBE-GGA.

Structure (extended XYZ):
```
6
Lattice="4.401 0.000 0.000 -2.201 3.812 0.000 0.000 0.000 7.696" Properties=species:S:1:pos:R:3 pbc="T T T"
Sr 0.000 0.000 0.000
Li 2.201 1.271 2.151
Li 0.000 2.541 5.545
Dy 0.000 0.000 3.848
Pt 2.201 1.271 5.432
Pt 0.000 2.541 2.264
```

Results
Space-group type ... P-3m1, No. 164
V ... 21.52 Å³/atom
Final energy ... -26.59 eV for the cell shown
Formation energy ... -0.7327 eV/atom

***

PmInAu: relaxed, PBE-GGA.

Structure (extended XYZ):
```
3
Lattice="-2.991 -1.841 0.497 1.634 -2.951 -1.100 2.299 1.247 5.793" Properties=species:S:1:pos:R:3 pbc="T T T"
Pm 0.956 -0.678 3.238
Au 0.799 -3.445 4.708
In -0.358 -2.624 0.786
```

Results
Space-group type ... I4mm, No. 107
Energy above the most stable polymorph in this dataset ... 208 meV per atom
V ... 24.50 Å³/atom
Final energy ... -12.36 eV for the cell shown
Formation energy ... -0.5325 eV/atom

***

Ac3HoRu: relaxed, PBE-GGA.

Structure (extended XYZ):
```
5
Lattice="-2.939 -4.456 -2.189 4.516 -3.456 0.972 -2.062 -1.218 5.249" Properties=species:S:1:pos:R:3 pbc="T T T"
Ru 0.000 0.000 0.000
Ac 2.258 -1.728 0.486
Ac -1.031 -0.609 2.624
Ac -1.469 -2.228 -1.094
Ho -0.243 -4.565 2.016
```

Results
Space-group type ... Pm-3m, No. 221
V ... 38.40 Å³/atom
Final energy ... -26.10 eV for the cell shown
Formation energy ... 0.0161 eV/atom